Entry 1:
Below is crystalline La2TlGaO6 at its relaxed geometry, with properties calculated at the GGA-PBE level.

Cell lengths 5.699, 5.957, 9.986 Å; angles 90.00, 124.59, 90.00 degrees
Space group P2_1/c (No. 14)
Symmetry-distinct sites (fractional):
La 0.234 0.058 0.251 [4 per cell]
Tl 0.500 0.000 0.000 [2 per cell]
Ga 0.000 0.000 0.500 [2 per cell]
O 0.115 0.213 0.936 [4 per cell]
O 0.233 0.681 0.945 [4 per cell]
O 0.345 0.045 0.732 [4 per cell]

Properties
Raw formation energy = -23.36 eV/f.u.
Crystal system = monoclinic
E = -6.835 eV/atom
M_tot = 0.0 μB/cell


Entry 2:
Below is crystalline TbErAlNi at its relaxed geometry, with properties calculated at the GGA-PBE level.

Cell lengths 7.013, 7.013, 7.013 Å; angles 90.00, 90.00, 90.00 degrees
Space group F-43m (No. 216)
Symmetry-distinct sites (fractional):
Tb 0.000 0.000 0.000 [4 per cell]
Er 0.000 0.000 0.500 [4 per cell]
Al 0.250 0.250 0.750 [4 per cell]
Ni 0.250 0.250 0.250 [4 per cell]

Properties
Energy of formation = -0.322 eV per atom
Crystal system = cubic
E = -5.001 eV/atom
M_tot = 0.0 μB/cell


Entry 3:
Below is crystalline NaHg3N at its relaxed geometry, with properties calculated at the GGA-PBE level.

Cell lengths 4.916, 4.916, 4.916 Å; angles 90.00, 90.00, 90.00 degrees
Space group Pm-3m (No. 221)
Symmetry-distinct sites (fractional):
Na 0.000 0.000 0.000 [1 per cell]
Hg 0.000 0.500 0.500 [3 per cell]
N 0.500 0.500 0.500 [1 per cell]

Properties
Raw formation energy = 3.28 eV/f.u.
Crystal system = cubic
ΔE to the lowest computed polymorph = 0.000 eV/atom
E = -1.455 eV/atom
M_tot = 0.0 μB/cell


Entry 4:
Below is crystalline K2HfTeO at its relaxed geometry, with properties calculated at the GGA-PBE level.

Cell lengths 6.982, 6.982, 3.939 Å; angles 90.00, 90.00, 90.00 degrees
Space group P4/mmm (No. 123)
Symmetry-distinct sites (fractional):
K 0.000 0.500 0.000 [2 per cell]
Hf 0.000 0.000 0.000 [1 per cell]
Te 0.500 0.500 0.500 [1 per cell]
O 0.000 0.000 0.500 [1 per cell]

Properties
Raw formation energy = -3.53 eV/f.u.
Crystal system = tetragonal
E = -4.755 eV/atom
M_tot = 0.6 μB/cell


Entry 5:
Below is crystalline MgSiAs2H at its relaxed geometry, with properties calculated at the GGA-PBE level.

Cell lengths 4.444, 4.444, 3.928 Å; angles 90.00, 90.00, 90.00 degrees
Space group P4/mmm (No. 123)
Symmetry-distinct sites (fractional):
Mg 0.000 0.000 0.000 [1 per cell]
Si 0.500 0.500 0.000 [1 per cell]
As 0.000 0.500 0.500 [2 per cell]
H 0.000 0.000 0.500 [1 per cell]

Properties
Crystal system = tetragonal
E = -3.541 eV/atom
M_tot = 0.0 μB/cell


Entry 6:
Below is crystalline La3Pr2PuS6 at its relaxed geometry, with properties calculated at the GGA-PBE level.

Cell lengths 17.904, 4.095, 8.243 Å; angles 90.00, 103.33, 90.00 degrees
Space group C2/m (No. 12)
Symmetry-distinct sites (fractional):
La 0.000 0.000 0.000 [2 per cell]
La 0.167 0.500 0.335 [4 per cell]
Pr 0.165 0.500 0.831 [4 per cell]
Pu 0.000 0.000 0.500 [2 per cell]
S 0.000 0.500 0.260 [4 per cell]
S 0.163 0.000 0.583 [4 per cell]
S 0.168 0.000 0.082 [4 per cell]

Properties
Raw formation energy = -24.72 eV/f.u.
Crystal system = monoclinic
E = -7.347 eV/atom
M_tot = 11.7 μB/cell


What did the fourth record say?
Below is crystalline K2HfTeO at its relaxed geometry, with properties calculated at the GGA-PBE level.

Cell lengths 6.982, 6.982, 3.939 Å; angles 90.00, 90.00, 90.00 degrees
Space group P4/mmm (No. 123)
Symmetry-distinct sites (fractional):
K 0.000 0.500 0.000 [2 per cell]
Hf 0.000 0.000 0.000 [1 per cell]
Te 0.500 0.500 0.500 [1 per cell]
O 0.000 0.000 0.500 [1 per cell]

Properties
Raw formation energy = -3.53 eV/f.u.
Crystal system = tetragonal
E = -4.755 eV/atom
M_tot = 0.6 μB/cell